First-principles (GGA-PBEsol) data for a relaxed structure of Sc2NiW, as listed in Alexandria.

Summary:
E above lowest polymorph, eV per atom: 0.0094
E, eV per atom: -8.3034
Formation energy from the elements, meV/atom: -10

Cell lengths 2.8964, 4.9689, 5.3554 Å; angles 113.70, 105.69, 90.00 degrees
Positions (direct):
Ni1 0.7647 0.1717 0.5294
Sc1 0.0373 0.0836 0.0745
Sc2 0.2359 0.7153 0.4717
W1 0.4622 0.5294 0.9244

First-principles (GGA-PBEsol) data for a relaxed structure of Y2ScNi2, as listed in Alexandria.

Summary:
E above lowest polymorph, eV per atom: 0.0000
E, eV per atom: -6.8452
Formation energy from the elements, meV/atom: -332

Cell lengths 3.8881, 7.1420, 7.1420 Å; angles 90.00, 90.00, 90.00 degrees
Positions (direct):
Y1 0.5000 0.1722 0.6722
Y2 0.5000 0.6722 0.8278
Y3 0.5000 0.8278 0.3278
Y4 0.5000 0.3278 0.1722
Ni1 0.0000 0.3765 0.8765
Ni2 0.0000 0.8765 0.6235
Ni3 0.0000 0.6235 0.1235
Ni4 0.0000 0.1235 0.3765
Sc1 0.0000 0.0000 0.0000
Sc2 0.0000 0.5000 0.5000